1.
A relaxed AcPm2Nd4Er crystal, computed with PBE-GGA.

Lattice parameters (Å, degrees): 6.1054 6.0870 9.7677 51.42 90.00 90.00
Closest atoms and distances in Å follow each position.
Sites, in units of the cell vectors:
Nd  0.5000  0.7334  0.2665  4 Pm 3.53-3.67, 2 Er 3.54, 1 Nd 3.57, 2 Ac 3.66
Nd  0.5000  0.2666  0.7335  4 Pm 3.53-3.67, 2 Er 3.54, 1 Nd 3.57, 2 Ac 3.66
Nd  0.0000  0.2337  0.2666  2 Er 3.53, 4 Pm 3.53-3.66, 1 Nd 3.56, 2 Ac 3.67
Nd  0.0000  0.7663  0.7334  2 Er 3.53, 4 Pm 3.53-3.66, 1 Nd 3.56, 2 Ac 3.67
Pm  0.5000  0.0000  0.5000  8 Nd 3.53, 2 Ac 3.82
Pm  0.0000  0.0000  0.0000  8 Nd 3.66-3.67, 2 Er 3.82
Er  0.0000  0.5000  0.5000  8 Nd 3.53-3.54, 2 Pm 3.82
Ac  0.5000  0.5000  0.0000  8 Nd 3.66-3.67, 2 Pm 3.82

Calculated values
Symmetry ... Pmmm, No. 47
M_tot ... 0.000 μB per atom
Energy ... -4.536 eV per atom
Energy of formation ... 0.119 eV per atom

***

2.
A relaxed TmSbPd5 crystal, computed with PBE-GGA.

Lattice parameters (Å, degrees): 4.1595 4.1595 7.3602 90.00 90.00 90.00
Closest atoms and distances in Å follow each position.
Sites, in units of the cell vectors:
Pd  0.0000  0.5000  0.7739  2 Sb 2.66, 6 Pd 2.90-2.94, 2 Tm 2.90
Pd  0.5000  0.0000  0.2261  2 Sb 2.66, 2 Tm 2.90, 6 Pd 2.90-2.94
Pd  0.0000  0.5000  0.2261  2 Sb 2.66, 6 Pd 2.90-2.94, 2 Tm 2.90
Pd  0.5000  0.0000  0.7739  2 Sb 2.66, 2 Tm 2.90, 6 Pd 2.90-2.94
Pd  0.5000  0.5000  0.5000  8 Pd 2.90, 4 Tm 2.94
Tm  0.0000  0.0000  0.5000  12 Pd 2.90-2.94
Sb  0.5000  0.5000  0.0000  8 Pd 2.66

Calculated values
Formation energy (no corrections) ... -0.73 eV/atom
Offset from the most stable computed form ... 0.00 kcal/mol of atoms
Symmetry ... P4/mmm, No. 123
M_tot ... 0.000 μB per atom
Energy ... -5.666 eV per atom

***

3.
A relaxed AsHOsPd crystal, computed with PBE-GGA.

Lattice parameters (Å, degrees): 2.9335 2.9850 6.0221 90.00 90.00 90.00
Closest atoms and distances in Å follow each position.
Sites, in units of the cell vectors:
H  0.5000  0.5000  0.6536  2 Pd 1.80
Os  0.0000  0.0000  0.8843  4 As 2.51, 4 H 2.51
As  0.5000  0.5000  0.1147  4 Os 2.51, 2 Pd 2.65, 1 H 2.78
Pd  0.0000  0.5000  0.4811  2 H 1.80

Calculated values
Offset from the most stable computed form ... 4.84 kcal/mol of atoms
Symmetry ... Pmm2, No. 25
M_tot ... 0.000 μB per atom
Energy ... -5.795 eV per atom

***

4.
A relaxed RbSc2AgSe4 crystal, computed with PBE-GGA.

Lattice parameters (Å, degrees): 4.0562 7.2908 14.4495 90.00 90.00 106.15
Closest atoms and distances in Å follow each position.
Sites, in units of the cell vectors:
Se  0.7452  0.4904  0.5931  1 Ag 2.57, 3 Sc 2.73-2.87
Se  0.0000  0.0000  0.0000  4 Sc 2.88
Se  0.2548  0.5096  0.4069  1 Ag 2.57, 3 Sc 2.73-2.87
Se  0.0000  0.0000  0.5000  4 Sc 2.88
Se  0.4456  0.8912  0.7500  2 Ag 2.57, 2 Sc 2.80
Se  0.7452  0.4904  0.9069  1 Ag 2.57, 3 Sc 2.73-2.87
Se  0.5544  0.1088  0.2500  2 Ag 2.57, 2 Sc 2.80
Se  0.2548  0.5096  0.0931  1 Ag 2.57, 3 Sc 2.73-2.87
Ag  0.1677  0.3354  0.2500  4 Se 2.57
Ag  0.8323  0.6646  0.7500  4 Se 2.57
Sc  0.3729  0.7458  0.9305  6 Se 2.73-2.88
Sc  0.6271  0.2542  0.4305  6 Se 2.73-2.88
Sc  0.6271  0.2542  0.0695  6 Se 2.73-2.88
Sc  0.3729  0.7458  0.5695  6 Se 2.73-2.88
Rb  0.8759  0.7518  0.2500  6 Se 3.22-3.48, 2 Ag 3.55
Rb  0.1241  0.2482  0.7500  6 Se 3.22-3.48, 2 Ag 3.55

Calculated values
Formation energy (no corrections) ... -1.26 eV/atom
Symmetry ... Cmcm, No. 63
M_tot ... 0.000 μB per atom
Energy ... -5.065 eV per atom

***

5.
A relaxed HfMgScTl crystal, computed with PBE-GGA.

Lattice parameters (Å, degrees): 5.0066 5.0066 5.0066 60.00 60.00 60.00
Closest atoms and distances in Å follow each position.
Sites, in units of the cell vectors:
Mg  0.2500  0.2500  0.2500  4 Hf 3.07, 4 Sc 3.07
Tl  0.7500  0.7500  0.7500  4 Hf 3.07, 4 Sc 3.07
Sc  0.0000  0.0000  0.0000  4 Tl 3.07, 4 Mg 3.07
Hf  0.5000  0.5000  0.5000  4 Mg 3.07, 4 Tl 3.07

Calculated values
Symmetry ... F-43m, No. 216
M_tot ... 0.000 μB per atom
Energy ... -5.025 eV per atom
Energy of formation ... 0.037 eV per atom

***

6.
A relaxed AcBiAs2 crystal, computed with PBE-GGA.

Lattice parameters (Å, degrees): 4.5717 4.4085 6.3916 90.08 85.53 90.02
Closest atoms and distances in Å follow each position.
Sites, in units of the cell vectors:
As  0.2396  0.7519  0.4859  2 Bi 2.89, 1 Ac 3.14
As  0.7251  0.2532  0.9872  1 Bi 2.85, 2 Ac 3.14
Bi  0.8311  0.2514  0.5415  3 As 2.85-2.89
Ac  0.2140  0.7533  0.9782  6 As 3.14-3.26

Calculated values
Offset from the most stable computed form ... 0.00 kcal/mol of atoms
Symmetry ... P1, No. 1
M_tot ... 0.000 μB per atom
Energy ... -5.040 eV per atom
Energy of formation ... -0.718 eV per atom

***

What did the sixth record say?
A relaxed AcBiAs2 crystal, computed with PBE-GGA.

Lattice parameters (Å, degrees): 4.5717 4.4085 6.3916 90.08 85.53 90.02
Closest atoms and distances in Å follow each position.
Sites, in units of the cell vectors:
As  0.2396  0.7519  0.4859  2 Bi 2.89, 1 Ac 3.14
As  0.7251  0.2532  0.9872  1 Bi 2.85, 2 Ac 3.14
Bi  0.8311  0.2514  0.5415  3 As 2.85-2.89
Ac  0.2140  0.7533  0.9782  6 As 3.14-3.26

Calculated values
Offset from the most stable computed form ... 0.00 kcal/mol of atoms
Symmetry ... P1, No. 1
M_tot ... 0.000 μB per atom
Energy ... -5.040 eV per atom
Energy of formation ... -0.718 eV per atom